Compound: RbHfAl
Source: the Alexandria database
Functional: PBE-GGA
Structure: relaxed

a b c (Å): 5.462 5.462 6.327
angles (deg): 90.00 90.00 120.00
Atoms (fractional coordinates):
Hf (0.000, 0.000, 0.250)
Hf (0.000, 0.000, 0.750)
Al (0.333, 0.667, 0.250)
Al (0.333, 0.667, 0.750)
Rb (0.667, 0.333, 0.000)
Rb (0.667, 0.333, 0.500)

Output
ρ ... 5.91 g/cm³
Size of the total moment ... 0.0 Bohr magnetons per cell
Electronic total energy ... -3.947 eV/atom